Entry 1:
VASP calculation (PBE-GGA) on a relaxed Ac2SCl2 crystal.

abc: 7.4852 4.3220 11.2727
angles: 90.00 104.11 90.00
Closest atoms and distances in Å follow each position.
Space group C2/m (No. 12)
Asymmetric unit:
Ac1 0.2213 0.0000 0.1489 (multiplicity 4)  3 S 2.98, 3 Cl 3.05
S1 0.0000 0.5000 0.0000 (multiplicity 2)  6 Ac 2.98
Cl1 0.0531 0.0000 0.6904 (multiplicity 4)  3 Ac 3.05

Energy relative to the elements, uncorrected: -47.7 kcal/mol of atoms

***

Entry 2:
VASP calculation (PBE-GGA) on a relaxed Ac4S6Cl crystal.

abc: 9.0478 9.0478 4.2325
angles: 90.00 90.00 120.00
Closest atoms and distances in Å follow each position.
Space group P-6m2 (No. 187)
Asymmetric unit:
Ac1 0.0000 0.0000 0.0000 (multiplicity 1)  9 S 3.04-3.29
Ac2 0.5080 0.0159 0.5000 (multiplicity 3)  6 S 2.90-3.10
S1 0.1395 0.2790 0.5000 (multiplicity 3)  4 Ac 2.90-3.04
S2 0.4205 0.2102 0.0000 (multiplicity 3)  5 Ac 3.10-3.29, 2 S 3.34
Cl1 0.3333 0.6667 0.0000 (multiplicity 1)  6 Ac 3.46, 6 S 3.70

Energy relative to the elements, uncorrected: -45.3 kcal/mol of atoms

***

Entry 3:
VASP calculation (PBE-GGA) on a relaxed Ac6Si2SCl3 crystal.

abc: 19.4145 4.4995 8.8007
angles: 90.00 103.14 90.00
Closest atoms and distances in Å follow each position.
Space group C2/m (No. 12)
Asymmetric unit:
Ac1 0.0024 0.0000 0.2340 (multiplicity 4)  1 Si 3.04, 2 S 3.04, 3 Cl 3.25-3.38
Ac2 0.1576 0.5000 0.0907 (multiplicity 4)  1 S 2.98, 2 Si 3.06, 3 Cl 3.14-3.22
Ac3 0.1718 0.5000 0.5730 (multiplicity 4)  3 Si 3.09-3.12, 3 Cl 3.25
Si1 0.1631 0.0000 0.3295 (multiplicity 4)  6 Ac 3.04-3.12
S1 0.0000 0.5000 0.0000 (multiplicity 2)  6 Ac 2.98-3.04
Cl1 0.0000 0.5000 0.5000 (multiplicity 2)  6 Ac 3.25
Cl2 0.1763 0.0000 0.8416 (multiplicity 4)  6 Ac 3.14-3.38

Energy relative to the elements, uncorrected: -31.2 kcal/mol of atoms